Entry 1:
The following is a PBE calculation of a relaxed structure of DyBeCuSi2, from Alexandria.

a = 3.932 Å, b = 3.932 Å, c = 9.820 Å
α = 90.00°, β = 90.00°, γ = 90.00°
Space group I-4m2 (No. 119)
Symmetry-distinct sites (fractional):
Dy  0.000  0.000  0.000 [2 per cell]
Be  0.000  0.500  0.250 [2 per cell]
Cu  0.000  0.500  0.750 [2 per cell]
Si  0.000  0.000  0.380 [4 per cell]

Properties
Energy relative to the elements, uncorrected in eV per atom: -0.476


Entry 2:
The following is a PBE calculation of a relaxed structure of DyThBeCu, from Alexandria.

a = 7.004 Å, b = 7.004 Å, c = 7.004 Å
α = 90.00°, β = 90.00°, γ = 90.00°
Space group F-43m (No. 216)
Symmetry-distinct sites (fractional):
Dy  0.000  0.000  0.000 [4 per cell]
Th  0.000  0.000  0.500 [4 per cell]
Be  0.250  0.250  0.250 [4 per cell]
Cu  0.250  0.250  0.750 [4 per cell]

Properties
DFT formation energy in eV per atom: 0.04


Entry 3:
The following is a PBE calculation of a relaxed structure of DyBeZnCu6, from Alexandria.

a = 6.225 Å, b = 8.194 Å, c = 10.336 Å
α = 90.00°, β = 90.00°, γ = 90.00°
Space group Imma (No. 74)
Symmetry-distinct sites (fractional):
Dy  0.000  0.250  0.205 [4 per cell]
Be  0.000  0.000  0.000 [4 per cell]
Zn  0.250  0.250  0.750 [4 per cell]
Cu  0.000  0.250  0.492 [4 per cell]
Cu  0.000  0.250  0.931 [4 per cell]
Cu  0.200  0.003  0.620 [16 per cell]

Properties
DFT formation energy in eV per atom: 0.11


Entry 4:
The following is a PBE calculation of a relaxed structure of Dy2BeZn3Cu12, from Alexandria.

a = 6.2444 Å, b = 6.2444 Å, c = 25.1373 Å
α = 90.00°, β = 90.00°, γ = 120.00°
Space group R-3m (No. 166, hexagonal axes)
Symmetry-distinct sites (fractional):
Dy  0.0000  0.0000  0.1529 [6 per cell]
Be  0.0000  0.0000  0.5000 [3 per cell]
Zn  0.0000  0.5000  0.0000 [9 per cell]
Cu  0.0565  0.5283  0.1011 [18 per cell]
Cu  0.0747  0.5374  0.6151 [18 per cell]

Properties
DFT formation energy in eV per atom: 0.12


Entry 5:
The following is a PBE calculation of a relaxed structure of ErBe2Cu4, from Alexandria.

a = 7.819 Å, b = 6.123 Å, c = 4.762 Å
α = 90.00°, β = 126.55°, γ = 90.00°
Space group C2/m (No. 12)
Symmetry-distinct sites (fractional):
Er  0.000  0.000  0.000 [2 per cell]
Be  0.000  0.500  0.249 [4 per cell]
Cu  0.194  0.197  0.693 [8 per cell]

Properties
DFT formation energy in eV per atom: -0.12


Entry 6:
The following is a PBE calculation of a relaxed structure of ErBeCu3, from Alexandria.

a = 4.217 Å, b = 4.217 Å, c = 4.217 Å
α = 90.00°, β = 90.00°, γ = 90.00°
Space group Pm-3m (No. 221)
Symmetry-distinct sites (fractional):
Er  0.000  0.000  0.000 [1 per cell]
Be  0.500  0.500  0.500 [1 per cell]
Cu  0.000  0.500  0.500 [3 per cell]

Properties
DFT formation energy in eV per atom: -0.04


Entry 7:
The following is a PBE calculation of a relaxed structure of ErBeCu, from Alexandria.

a = 4.0483 Å, b = 4.0483 Å, c = 3.5976 Å
α = 90.00°, β = 90.00°, γ = 120.00°
Space group P-6m2 (No. 187)
Symmetry-distinct sites (fractional):
Er  0.0000  0.0000  0.0000 [1 per cell]
Be  0.6667  0.3333  0.5000 [1 per cell]
Cu  0.3333  0.6667  0.5000 [1 per cell]

Properties
DFT formation energy in eV per atom: -0.14


Entry 8:
The following is a PBE calculation of a relaxed structure of ErBeCu11, from Alexandria.

a = 4.754 Å, b = 11.808 Å, c = 6.379 Å
α = 90.00°, β = 110.37°, γ = 90.00°
Space group C2/m (No. 12)
Symmetry-distinct sites (fractional):
Er  0.000  0.000  0.000 [2 per cell]
Be  0.000  0.500  0.500 [2 per cell]
Cu  0.000  0.000  0.500 [2 per cell]
Cu  0.101  0.392  0.228 [8 per cell]
Cu  0.175  0.175  0.356 [8 per cell]
Cu  0.250  0.250  0.000 [4 per cell]

Properties
DFT formation energy in eV per atom: -0.10


Entry 9:
The following is a PBE calculation of a relaxed structure of ErBe4Cu4, from Alexandria.

a = 7.668 Å, b = 7.668 Å, c = 3.944 Å
α = 90.00°, β = 90.00°, γ = 90.00°
Space group I4/m (No. 87)
Symmetry-distinct sites (fractional):
Er  0.000  0.000  0.000 [2 per cell]
Be  0.171  0.283  0.500 [8 per cell]
Cu  0.104  0.616  0.500 [8 per cell]

Properties
DFT formation energy in eV per atom: -0.02


Entry 10:
The following is a PBE calculation of a relaxed structure of ErBe2Cu3, from Alexandria.

a = 8.6140 Å, b = 8.6140 Å, c = 3.7158 Å
α = 90.00°, β = 90.00°, γ = 120.00°
Space group P6/mmm (No. 191)
Symmetry-distinct sites (fractional):
Er  0.0000  0.0000  0.0000 [1 per cell]
Er  0.3333  0.6667  0.5000 [2 per cell]
Be  0.1882  0.3764  0.0000 [6 per cell]
Cu  0.0000  0.2906  0.5000 [6 per cell]
Cu  0.0000  0.5000  0.0000 [3 per cell]

Properties
DFT formation energy in eV per atom: -0.19


Entry 11:
The following is a PBE calculation of a relaxed structure of ErBeCu, from Alexandria.

a = 3.098 Å, b = 3.098 Å, c = 10.068 Å
α = 90.00°, β = 90.00°, γ = 90.00°
Space group I4mm (No. 107)
Symmetry-distinct sites (fractional):
Er  0.000  0.000  0.000 [2 per cell]
Be  0.000  0.000  0.702 [2 per cell]
Cu  0.000  0.000  0.295 [2 per cell]

Properties
DFT formation energy in eV per atom: 0.03


Entry 12:
The following is a PBE calculation of a relaxed structure of ErBe2Cu6, from Alexandria.

a = 10.298 Å, b = 10.298 Å, c = 10.298 Å
α = 90.00°, β = 90.00°, γ = 90.00°
Space group Fd-3m (No. 227, origin choice 2)
Symmetry-distinct sites (fractional):
Er  0.125  0.125  0.125 [8 per cell]
Be  0.000  0.000  0.500 [16 per cell]
Cu  0.104  0.375  0.875 [48 per cell]

Properties
DFT formation energy in eV per atom: 0.31


These records have total DFT energy (no corrections) values of -5.1302; -4.9205; -3.6853; -3.5463; -4.1803; -4.1538; -4.2641; -4.2058; -4.0000; -4.2383; -4.1021; -3.7585 eV/atom, in the order they appear.
These records have M_tot values of 0.00; 0.00; 0.00; 0.00; 0.00; 0.00; 0.00; 0.00; 0.00; 0.00; 0.00; 0.00 μB/atom, in the order they appear.